The following is a DFT calculation (PBE-GGA) of a relaxed structure of KLiY2Mo.

Cell: 5.3439 5.3439 6.3985 Å, 90.00 90.00 90.00°
Closest atoms and distances in Å follow each position.
Fractional coordinates of all 5 atoms:
K (0.0000, 0.0000, 0.0000)  2 Mo 3.20
Li (0.5000, 0.5000, 0.0000)  4 K 3.78, 8 Y 4.17
Y (0.0000, 0.5000, 0.5000)  2 Mo 2.67
Y (0.5000, 0.0000, 0.5000)  2 Mo 2.67
Mo (0.0000, 0.0000, 0.5000)  4 Y 2.67

Output
Uncorrected energy in eV per formula unit: -22.7
Magnetic moment in μB per formula unit: 0.71
Crystal system: tetragonal
V in Å³/atom: 36.54
N(E_F) in states/eV per atom: 0.91
Formation energy from the elements in eV/atom: 0.8062

The following is a DFT calculation (PBE-GGA) of a relaxed structure of K3LiN8.

Cell: 6.6993 6.6993 6.6993 Å, 118.54 118.54 92.55°
Closest atoms and distances in Å follow each position.
Fractional coordinates of all 12 atoms:
K (0.0000, 0.0000, 0.0000)  8 N 2.90-3.04, 1 Li 3.24
K (0.0752, 0.5752, 0.5000)  8 N 2.95-3.06
K (0.5752, 0.0752, 0.5000)  8 N 2.95-3.06
Li (0.3501, 0.3501, 0.0000)  8 N 2.17-2.19
N (0.0468, 0.0468, 0.5940)  1 N 1.18
N (0.0468, 0.4528, 0.0000)  1 N 1.18
N (0.1504, 0.1504, 0.5500)  1 N 1.18
N (0.1504, 0.6004, 0.0000)  1 N 1.18
N (0.4528, 0.0468, 0.0000)  1 N 1.18
N (0.4528, 0.4528, 0.4060)  1 N 1.18
N (0.6004, 0.1504, 0.0000)  1 N 1.18
N (0.6004, 0.6004, 0.4500)  1 N 1.18

Output
Uncorrected energy in eV per formula unit: -73.4
Magnetic moment in μB per formula unit: 1.70
Crystal system: tetragonal
V in Å³/atom: 18.09
Uncorrected formation energy in eV per atom: -0.1356
N(E_F) in states/eV per atom: 0.57

The following is a DFT calculation (PBE-GGA) of a relaxed structure of KLi3N.

Cell: 4.3244 4.3244 4.3244 Å, 90.00 90.00 90.00°
Closest atoms and distances in Å follow each position.
Fractional coordinates of all 5 atoms:
K (0.0000, 0.0000, 0.0000)  12 Li 3.06
Li (0.0000, 0.5000, 0.5000)  2 N 2.16
Li (0.5000, 0.0000, 0.5000)  2 N 2.16
Li (0.5000, 0.5000, 0.0000)  2 N 2.16
N (0.5000, 0.5000, 0.5000)  6 Li 2.16

Output
Uncorrected energy in eV per formula unit: -14.9
Magnetic moment in μB per formula unit: 0.00
Crystal system: cubic
V in Å³/atom: 16.17
Energy relative to the lowest polymorph listed for this composition in meV per atom: 119
Uncorrected formation energy in eV per atom: 0.0448
N(E_F) in states/eV per atom: 0.50

The following is a DFT calculation (PBE-GGA) of a relaxed structure of K2LiN.

Cell: 11.0244 11.0244 3.8948 Å, 90.00 90.00 90.00°
Closest atoms and distances in Å follow each position.
Fractional coordinates of all 16 atoms:
K (0.0427, 0.2500, 0.1250)  2 N 2.84, 2 Li 3.15
K (0.2500, 0.5427, 0.3750)  2 N 2.84, 2 Li 3.15
K (0.2500, 0.9573, 0.8750)  2 N 2.84, 2 Li 3.15
K (0.4573, 0.2500, 0.6250)  2 N 2.84, 2 Li 3.15
K (0.5427, 0.7500, 0.6250)  2 N 2.84, 2 Li 3.15
K (0.7500, 0.0427, 0.8750)  2 N 2.84, 2 Li 3.15
K (0.7500, 0.4573, 0.3750)  2 N 2.84, 2 Li 3.15
K (0.9573, 0.7500, 0.1250)  2 N 2.84, 2 Li 3.15
Li (0.0000, 0.0000, 0.5000)  2 N 1.95
Li (0.0000, 0.5000, 0.7500)  2 N 1.95
Li (0.5000, 0.0000, 0.2500)  2 N 1.95
Li (0.5000, 0.5000, 0.0000)  2 N 1.95
N (0.0000, 0.0000, 0.0000)  2 Li 1.95
N (0.0000, 0.5000, 0.2500)  2 Li 1.95
N (0.5000, 0.0000, 0.7500)  2 Li 1.95
N (0.5000, 0.5000, 0.5000)  2 Li 1.95

Output
Uncorrected energy in eV per formula unit: -11.7
Magnetic moment in μB per formula unit: 0.00
Crystal system: tetragonal
V in Å³/atom: 29.58
Uncorrected formation energy in eV per atom: 0.1874
N(E_F) in states/eV per atom: 0.28